Below is an optimized crystal structure of Ca4MgIn, with properties calculated at the PBE level.

Summary:
The energy of formation from the pure elements is -18.0 meV per atom. The uncorrected energy is -2.0746 eV/atom.

a = 5.4800 Å, b = 5.4800 Å, c = 7.8487 Å
α = 89.95°, β = 89.94°, γ = 90.00°
Closest atoms and distances in Å follow each position.
Positions (direct):
Ca  0.0011  0.4976  0.2310  2 In 3.29, 2 Mg 3.45, 1 Ca 3.66
Ca  0.5013  0.9971  0.2309  2 In 3.29-3.30, 2 Mg 3.45, 1 Ca 3.66
Ca  0.0015  0.4976  0.7652  2 In 3.29-3.30, 2 Mg 3.44-3.45, 1 Ca 3.66
Mg  0.0014  0.9970  0.4985  8 Ca 3.44-3.45
In  0.5015  0.4969  0.9980  8 Ca 3.29-3.30
Ca  0.5011  0.9977  0.7652  2 In 3.29-3.30, 2 Mg 3.45, 1 Ca 3.66


Below is an optimized crystal structure of Tb12Dy3Al, with properties calculated at the PBE level.

Summary:
The energy of formation from the pure elements is -19.6 meV per atom. The uncorrected energy is -4.5891 eV/atom.

a = 4.9480 Å, b = 4.9480 Å, c = 20.0804 Å
α = 90.00°, β = 90.00°, γ = 90.00°
Closest atoms and distances in Å follow each position.
Positions (direct):
Dy  0.0000  0.0000  0.2464  12 Tb 3.50-3.58
Tb  0.5000  0.5000  0.7569  4 Dy 3.50, 8 Tb 3.54-3.58
Tb  0.0000  0.5000  0.1174  2 Al 3.42, 8 Tb 3.42-3.54, 2 Dy 3.58
Al  0.0000  0.0000  0.0000  12 Tb 3.42-3.50
Tb  0.5000  0.0000  0.3723  8 Tb 3.50-3.58, 4 Dy 3.54-3.56
Tb  0.5000  0.5000  0.5000  4 Dy 3.50, 8 Tb 3.56
Dy  0.0000  0.0000  0.7536  12 Tb 3.50-3.58
Tb  0.0000  0.5000  0.6277  8 Tb 3.50-3.58, 4 Dy 3.54-3.56
Tb  0.0000  0.5000  0.3723  8 Tb 3.50-3.58, 4 Dy 3.54-3.56
Tb  0.5000  0.5000  0.2431  4 Dy 3.50, 8 Tb 3.54-3.58
Tb  0.5000  0.0000  0.8826  8 Tb 3.42-3.54, 2 Al 3.42, 2 Dy 3.58
Tb  0.5000  0.5000  0.0000  8 Tb 3.42, 4 Al 3.50
Tb  0.5000  0.0000  0.6277  8 Tb 3.50-3.58, 4 Dy 3.54-3.56
Tb  0.0000  0.5000  0.8826  2 Al 3.42, 8 Tb 3.42-3.54, 2 Dy 3.58
Tb  0.5000  0.0000  0.1174  8 Tb 3.42-3.54, 2 Al 3.42, 2 Dy 3.58
Dy  0.0000  0.0000  0.5000  12 Tb 3.50-3.56


Below is an optimized crystal structure of KGa3Tc, with properties calculated at the PBE level.

Summary:
The energy of formation from the pure elements is 14.4 meV per atom. The uncorrected energy is -4.0944 eV/atom.

a = 4.3639 Å, b = 5.1664 Å, c = 11.2441 Å
α = 90.00°, β = 112.78°, γ = 90.00°
Closest atoms and distances in Å follow each position.
Positions (direct):
Tc  0.1026  0.7500  0.8522  8 Ga 2.63-2.69
Ga  0.3286  0.4983  0.0790  4 Ga 2.57-2.73, 3 Tc 2.63-2.69
K  0.3537  0.7500  0.6030  2 Tc 3.38, 2 Ga 3.54
Tc  0.8974  0.2500  0.1478  8 Ga 2.63-2.69
Ga  0.6714  0.9983  0.9210  4 Ga 2.57-2.73, 3 Tc 2.63-2.69
Ga  0.0343  0.2500  0.7834  2 Tc 2.68, 4 Ga 2.91
K  0.6463  0.2500  0.3970  2 Tc 3.38, 2 Ga 3.54
Ga  0.9657  0.7500  0.2166  2 Tc 2.68, 4 Ga 2.91
Ga  0.6714  0.5017  0.9210  4 Ga 2.57-2.73, 3 Tc 2.63-2.69
Ga  0.3286  0.0017  0.0790  4 Ga 2.57-2.73, 3 Tc 2.63-2.69


Below is an optimized crystal structure of Ce2Cu11Au, with properties calculated at the PBE level.

Summary:
The energy of formation from the pure elements is -167.2 meV per atom. The uncorrected energy is -4.4674 eV/atom.

a = 5.0474 Å, b = 8.1694 Å, c = 10.2607 Å
α = 90.00°, β = 90.00°, γ = 90.00°
Closest atoms and distances in Å follow each position.
Positions (direct):
Cu  0.0000  0.0609  0.1523  5 Cu 2.54-2.60
Ce  0.5000  0.7401  0.8131  13 Cu 2.89-3.23, 2 Au 3.20-3.21
Au  0.5000  0.8596  0.1109  8 Cu 2.60-2.79
Ce  0.0000  0.2591  0.6843  14 Cu 2.93-3.25
Ce  0.0000  0.7591  0.3157  14 Cu 2.93-3.25
Cu  0.2497  0.5652  0.0631  7 Cu 2.46-2.56
Cu  0.0000  0.8162  0.9996  7 Cu 2.48-2.60
Cu  0.5000  0.9456  0.3544  4 Cu 2.45-2.61, 1 Au 2.60
Cu  0.0000  0.5609  0.8477  5 Cu 2.54-2.60
Cu  0.2434  0.4345  0.4417  9 Cu 2.45-2.72
Cu  0.0000  0.4013  0.2367  6 Cu 2.45-2.63
Cu  0.0000  0.1450  0.3915  8 Cu 2.55-2.77
Cu  0.5000  0.5881  0.2683  5 Cu 2.46-2.53, 1 Au 2.74
Cu  0.7503  0.5652  0.0631  7 Cu 2.46-2.56
Cu  0.0000  0.9013  0.7633  6 Cu 2.45-2.63
Cu  0.5000  0.0881  0.7317  5 Cu 2.46-2.53, 1 Au 2.74
Cu  0.0000  0.3162  0.0004  7 Cu 2.48-2.60
Cu  0.5000  0.1845  0.4989  7 Cu 2.45-2.61
Ce  0.5000  0.2401  0.1869  13 Cu 2.89-3.23, 2 Au 3.20-3.21
Cu  0.7566  0.9345  0.5583  9 Cu 2.45-2.72
Cu  0.5000  0.6845  0.5011  7 Cu 2.45-2.61
Cu  0.2434  0.9345  0.5583  9 Cu 2.45-2.72
Au  0.5000  0.3596  0.8891  8 Cu 2.60-2.79
Cu  0.2497  0.0652  0.9369  7 Cu 2.46-2.56
Cu  0.0000  0.6450  0.6085  8 Cu 2.55-2.77
Cu  0.7566  0.4345  0.4417  9 Cu 2.45-2.72
Cu  0.5000  0.4456  0.6456  4 Cu 2.45-2.61, 1 Au 2.60
Cu  0.7503  0.0652  0.9369  7 Cu 2.46-2.56


Below is an optimized crystal structure of Pd3RuSe, with properties calculated at the PBE level.

Summary:
The uncorrected energy is -4.4578 eV/atom.

a = 4.7814 Å, b = 4.7814 Å, c = 4.7814 Å
α = 90.00°, β = 90.00°, γ = 90.00°
Closest atoms and distances in Å follow each position.
Positions (direct):
Pd  0.0000  0.5000  0.0000  2 Ru 2.39
Ru  0.0000  0.0000  0.0000  6 Pd 2.39
Se  0.5000  0.5000  0.5000  12 Pd 3.38
Pd  0.0000  0.0000  0.5000  2 Ru 2.39
Pd  0.5000  0.0000  0.0000  2 Ru 2.39


Below is an optimized crystal structure of Na2ThScS4, with properties calculated at the PBE level.

Summary:
The uncorrected energy is -5.7829 eV/atom.

a = 3.9223 Å, b = 6.7756 Å, c = 7.1194 Å
α = 108.37°, β = 90.00°, γ = 90.00°
Closest atoms and distances in Å follow each position.
Positions (direct):
S  0.0000  0.2388  0.7645  1 Sc 2.67, 2 Th 2.81, 3 Na 2.84-2.96
Na  0.5000  0.0000  0.5000  6 S 2.84-2.87
S  0.0000  0.7612  0.2355  1 Sc 2.67, 2 Th 2.81, 3 Na 2.84-2.96
S  0.5000  0.7725  0.7780  2 Sc 2.68, 1 Th 2.78, 3 Na 2.87-2.98
Sc  0.0000  0.0000  0.0000  6 S 2.67-2.68
S  0.5000  0.2275  0.2220  2 Sc 2.68, 1 Th 2.78, 3 Na 2.87-2.98
Na  0.0000  0.5000  0.5000  6 S 2.96-2.98
Th  0.5000  0.5000  0.0000  6 S 2.78-2.81


Below is an optimized crystal structure of Ba2TaNO3, with properties calculated at the PBE level.

Summary:
The uncorrected energy is -7.9690 eV/atom.

a = 4.1616 Å, b = 4.1200 Å, c = 7.4195 Å
α = 106.12°, β = 106.29°, γ = 90.00°
Closest atoms and distances in Å follow each position.
Positions (direct):
O  0.0000  0.5000  0.0000  2 Ta 2.06
N  0.5000  0.0000  0.0000  2 Ta 2.08
Ta  0.0000  0.0000  0.0000  4 O 2.05-2.06, 2 N 2.08
Ba  0.6453  0.6453  0.2906  7 O 2.79-2.93, 2 N 2.86
Ba  0.3547  0.3547  0.7094  7 O 2.79-2.93, 2 N 2.86
O  0.8496  0.8496  0.6993  1 Ta 2.05
O  0.1504  0.1504  0.3007  1 Ta 2.05


Below is an optimized crystal structure of SmPaSn2, with properties calculated at the PBE level.

Summary:
The energy of formation from the pure elements is 56.3 meV per atom. The uncorrected energy is -5.4989 eV/atom.

a = 3.2941 Å, b = 3.2941 Å, c = 12.1285 Å
α = 82.20°, β = 82.20°, γ = 60.00°
Closest atoms and distances in Å follow each position.
Positions (direct):
Sm  0.5000  0.5000  0.5000  6 Sm 3.29, 6 Sn 3.39
Sn  0.9115  0.9115  0.2656  1 Pa 3.18, 6 Sn 3.29, 3 Sm 3.39
Pa  0.0000  0.0000  0.0000  2 Sn 3.18, 6 Pa 3.29
Sn  0.0885  0.0885  0.7344  1 Pa 3.18, 6 Sn 3.29, 3 Sm 3.39


Below is an optimized crystal structure of RbSr2Al, with properties calculated at the PBE level.

Summary:
The energy of formation from the pure elements is 144.6 meV per atom. The uncorrected energy is -1.8738 eV/atom.

a = 6.0685 Å, b = 6.0685 Å, c = 6.0685 Å
α = 60.00°, β = 60.00°, γ = 60.00°
Closest atoms and distances in Å follow each position.
Positions (direct):
Al  0.0000  0.0000  0.0000  8 Sr 3.72
Sr  0.7500  0.7500  0.7500  4 Al 3.72, 4 Rb 3.72
Rb  0.5000  0.5000  0.5000  8 Sr 3.72
Sr  0.2500  0.2500  0.2500  4 Rb 3.72, 4 Al 3.72


Below is an optimized crystal structure of CaIn6Ni3, with properties calculated at the PBE level.

Summary:
The energy of formation from the pure elements is -166.2 meV per atom. The uncorrected energy is -3.7438 eV/atom.

a = 4.3780 Å, b = 9.3881 Å, c = 10.1114 Å
α = 95.07°, β = 90.00°, γ = 90.00°
Closest atoms and distances in Å follow each position.
Positions (direct):
In  0.2500  0.9133  0.5756  4 Ni 2.66-2.92
Ca  0.7500  0.0985  0.7537  4 Ni 3.16-3.33, 10 In 3.20-3.51
In  0.7500  0.4028  0.5761  3 Ni 2.71-2.79
Ni  0.7500  0.4959  0.8376  7 In 2.61-2.75
Ni  0.7500  0.7808  0.4578  7 In 2.68-2.92
Ni  0.7500  0.1202  0.1657  7 In 2.62-2.82
In  0.7500  0.6523  0.2087  3 Ni 2.61-2.69
In  0.2500  0.1181  0.0011  3 Ni 2.68-2.75
Ni  0.2500  0.5041  0.1624  7 In 2.61-2.75
In  0.2500  0.6393  0.9470  4 Ni 2.62-2.75
In  0.7500  0.7287  0.7140  4 Ni 2.61-2.82
In  0.2500  0.3477  0.7913  3 Ni 2.61-2.69
In  0.7500  0.8819  0.9989  3 Ni 2.68-2.75
Ca  0.2500  0.9015  0.2463  4 Ni 3.16-3.33, 10 In 3.20-3.51
In  0.2500  0.2713  0.2860  4 Ni 2.61-2.82
In  0.2500  0.5972  0.4239  3 Ni 2.71-2.79
Ni  0.2500  0.8798  0.8343  7 In 2.62-2.82
In  0.7500  0.3607  0.0530  4 Ni 2.62-2.75
In  0.7500  0.0867  0.4244  4 Ni 2.66-2.92
Ni  0.2500  0.2192  0.5422  7 In 2.68-2.92


Below is an optimized crystal structure of In2H2S, with properties calculated at the PBE level.

Summary:
The uncorrected energy is -3.1808 eV/atom.

a = 3.6525 Å, b = 7.0161 Å, c = 3.9164 Å
α = 67.67°, β = 62.03°, γ = 75.14°
Closest atoms and distances in Å follow each position.
Positions (direct):
H  0.2132  0.3583  0.2179  2 In 2.03
S  0.0000  0.0000  0.0000  6 In 2.77-2.84, 2 H 3.04
In  0.6339  0.2686  0.4651  2 H 2.03
H  0.7868  0.6417  0.7821  2 In 2.03
In  0.3661  0.7314  0.5349  2 H 2.03


Below is an optimized crystal structure of CaB2O6, with properties calculated at the PBE level.

Summary:
The uncorrected energy is -6.6872 eV/atom.

a = 6.8805 Å, b = 6.8805 Å, c = 4.4812 Å
α = 81.33°, β = 81.33°, γ = 87.68°
Closest atoms and distances in Å follow each position.
Positions (direct):
O  0.2140  0.1175  0.8023  2 B 1.46
O  0.8825  0.7860  0.6977  2 B 1.46
O  0.2267  0.4612  0.5892  1 B 1.46
B  0.7262  0.8682  0.9039  4 O 1.46-1.48
O  0.7733  0.5388  0.4108  1 B 1.46
O  0.0641  0.6687  0.2555  1 B 1.48
B  0.8682  0.7262  0.4039  4 O 1.46-1.48
O  0.9359  0.3313  0.7445  1 B 1.48
O  0.3313  0.9359  0.2445  1 B 1.48
O  0.5388  0.7733  0.9108  1 B 1.46
O  0.7860  0.8825  0.1977  2 B 1.46
Ca  0.2287  0.7713  0.7500  6 O 2.35-2.42
B  0.2738  0.1318  0.0961  4 O 1.46-1.48
O  0.6687  0.0641  0.7555  1 B 1.48
B  0.1318  0.2738  0.5961  4 O 1.46-1.48
O  0.1175  0.2140  0.3023  2 B 1.46
Ca  0.7713  0.2287  0.2500  6 O 2.35-2.42
O  0.4612  0.2267  0.0892  1 B 1.46